Record 1
This record from Alexandria describes crystalline TmMg12Rh6 at its relaxed geometry. The functional is PBE.

The space group is R-3m (No. 166, hexagonal axes) and the conventional cell measures 11.7322, 11.7322 and 9.3589 Å, with angles of 90.00, 90.00 and 120.00 degrees. The asymmetric unit holds Tm at (0.0000, 0.0000, 0.0000), Mg at (0.0000, 0.3813, 0.5000), Mg at (0.0890, 0.1780, 0.3487) and Rh at (0.0300, 0.5150, 0.2658).

As for the calculated total energy: -3.78 eV per atom. The formation energy is -0.217 eV/atom.


Record 2
This record from Alexandria describes crystalline TmMg3Rh at its relaxed geometry. The functional is PBE.

The space group is C2/m (No. 12) and the conventional cell measures 10.723, 8.044 and 7.115 Å, with angles of 90.00, 129.35 and 90.00 degrees. The asymmetric unit holds Tm at (0.050, 0.000, 0.276), Mg at (0.063, 0.500, 0.368), Mg at (0.209, 0.317, 0.151) and Rh at (0.247, 0.000, 0.141).

As for the calculated total energy: -3.59 eV per atom. As for the offset from the most stable computed form: 0.114 eV/atom. The formation energy is -0.273 eV/atom.


Record 3
This record from Alexandria describes crystalline TmMg2Rh at its relaxed geometry. The functional is PBE.

The space group is R-3m (No. 166, hexagonal axes) and the conventional cell measures 3.0446, 3.0446 and 32.0091 Å, with angles of 90.00, 90.00 and 120.00 degrees. The asymmetric unit holds Tm at (0.0000, 0.0000, 0.0000), Mg at (0.0000, 0.0000, 0.4225) and Rh at (0.0000, 0.0000, 0.5000).

As for the calculated total energy: -3.48 eV per atom. The formation energy is 0.275 eV/atom.


Record 4
This record from Alexandria describes crystalline Tm5MgRh6 at its relaxed geometry. The functional is PBE.

The space group is C2/m (No. 12) and the conventional cell measures 8.184, 14.137 and 4.704 Å, with angles of 90.00, 124.99 and 90.00 degrees. The asymmetric unit holds Tm at (0.000, 0.000, 0.000), Tm at (0.000, 0.169, 0.500), Tm at (0.000, 0.342, 0.000), Mg at (0.000, 0.500, 0.500), Rh at (0.246, 0.000, 0.746) and Rh at (0.249, 0.166, 0.249).

As for the calculated total energy: -6.59 eV per atom. The formation energy is -0.921 eV/atom.


Record 5
This record from Alexandria describes crystalline TmMg3Rh at its relaxed geometry. The functional is PBE.

The space group is P2_1/m (No. 11) and the conventional cell measures 5.289, 5.781 and 7.106 Å, with angles of 90.00, 96.75 and 90.00 degrees. The asymmetric unit holds Tm at (0.131, 0.250, 0.406), Mg at (0.070, 0.750, 0.103), Mg at (0.413, 0.502, 0.789) and Rh at (0.338, 0.750, 0.462).

As for the calculated total energy: -3.71 eV per atom. As for the offset from the most stable computed form: 0.000 eV/atom. The formation energy is -0.387 eV/atom.


Record 6
This record from Alexandria describes crystalline TmMg2Rh4 at its relaxed geometry. The functional is PBE.

The space group is I4/mmm (No. 139) and the conventional cell measures 3.954, 3.954 and 15.698 Å, with angles of 90.00, 90.00 and 90.00 degrees. The asymmetric unit holds Tm at (0.000, 0.000, 0.000), Mg at (0.000, 0.000, 0.250) and Rh at (0.000, 0.500, 0.130).

As for the calculated total energy: -5.58 eV per atom. The formation energy is -0.286 eV/atom.


Record 7
This record from Alexandria describes crystalline Tm7Mg2Rh2 at its relaxed geometry. The functional is PBE.

The space group is Cmmm (No. 65) and the conventional cell measures 8.034, 10.802 and 7.098 Å, with angles of 90.00, 90.00 and 90.00 degrees. The asymmetric unit holds Tm at (0.000, 0.000, 0.000), Tm at (0.000, 0.500, 0.241), Tm at (0.250, 0.250, 0.248), Mg at (0.174, 0.000, 0.500) and Rh at (0.000, 0.285, 0.000).

As for the calculated total energy: -4.72 eV per atom. The formation energy is -0.249 eV/atom.


Record 8
This record from Alexandria describes crystalline Tm2Mg2Rh3 at its relaxed geometry. The functional is PBE.

The space group is P-1 (No. 2) and the conventional cell measures 4.667, 4.687 and 7.681 Å, with angles of 107.50, 90.18 and 119.82 degrees. The asymmetric unit holds Tm at (0.117, 0.234, 0.350), Mg at (0.370, 0.740, 0.108), Rh at (0.246, 0.490, 0.740) and Rh at (0.500, 0.000, 0.500).

As for the calculated total energy: -5.57 eV per atom. The formation energy is -0.682 eV/atom.


Record 9
This record from Alexandria describes crystalline Tm4Mg5Rh2 at its relaxed geometry. The functional is PBE.

The space group is P2/m (No. 10) and the conventional cell measures 7.839, 3.575 and 9.623 Å, with angles of 90.00, 93.06 and 90.00 degrees. The asymmetric unit holds Tm at (0.169, 0.000, 0.347), Tm at (0.202, 0.000, 0.946), Mg at (0.181, 0.500, 0.653), Mg at (0.451, 0.500, 0.167), Mg at (0.500, 0.500, 0.500) and Rh at (0.074, 0.500, 0.146).

As for the calculated total energy: -4.07 eV per atom. The formation energy is -0.383 eV/atom.


Record 10
This record from Alexandria describes crystalline Tm3Mg2Rh at its relaxed geometry. The functional is PBE.

The space group is Cmmm (No. 65) and the conventional cell measures 4.971, 14.948 and 7.691 Å, with angles of 90.00, 90.00 and 90.00 degrees. The asymmetric unit holds Tm at (0.000, 0.000, 0.227), Tm at (0.000, 0.325, 0.214), Mg at (0.000, 0.166, 0.500), Mg at (0.000, 0.500, 0.000), Mg at (0.000, 0.500, 0.500) and Rh at (0.000, 0.155, 0.000).

As for the calculated total energy: -4.36 eV per atom. The formation energy is -0.368 eV/atom.


Record 11
This record from Alexandria describes crystalline TmMg5Rh2 at its relaxed geometry. The functional is PBE.

The space group is Immm (No. 71) and the conventional cell measures 4.167, 8.341 and 9.404 Å, with angles of 90.00, 90.00 and 90.00 degrees. The asymmetric unit holds Tm at (0.000, 0.000, 0.000), Mg at (0.000, 0.181, 0.332), Mg at (0.000, 0.500, 0.000) and Rh at (0.000, 0.500, 0.284).

As for the calculated total energy: -3.76 eV per atom. The formation energy is -0.364 eV/atom.


Record 12
This record from Alexandria describes crystalline TmMgRh at its relaxed geometry. The functional is PBE.

The space group is P-1 (No. 2) and the conventional cell measures 3.272, 6.391 and 6.478 Å, with angles of 106.35, 104.54 and 90.05 degrees. The asymmetric unit holds Tm at (0.139, 0.080, 0.277), Mg at (0.132, 0.574, 0.265) and Rh at (0.498, 0.251, 0.996).

As for the calculated total energy: -5.02 eV per atom. The formation energy is -0.545 eV/atom.